This record from the Alexandria database describes a relaxed structure of Sm2Al4Ir3Rh. The functional is PBE.

## Properties
ρ ... 9.78 g/cm3
Formation energy from the elements ... -0.902 eV/atom

Unit cell a=4.256 b=4.256 c=10.198 alpha=90.00 beta=90.00 gamma=90.00
Sites, in units of the cell vectors:
1 Ir 0.500 0.000 0.865
2 Ir 0.000 0.500 0.135
3 Ir 0.000 0.000 0.500
4 Al 0.500 0.000 0.621
5 Al 0.000 0.500 0.379
6 Al 0.000 0.000 0.000
7 Al 0.500 0.500 0.000
8 Rh 0.500 0.500 0.500
9 Sm 0.000 0.500 0.740
10 Sm 0.500 0.000 0.260